VASP calculation (GGA-PBE) on a relaxed structure of PuCNO5.

Lattice parameters (Å, degrees): 5.0363 5.0363 11.8567 90.00 90.00 120.00
Space group P6_3/mmc (No. 194)
Symmetry-distinct sites (fractional):
Pu1 0.3333 0.6667 0.2500 x2
C1 0.3333 0.6667 0.7500 x2
N1 0.0000 0.0000 0.0000 x2
O1 0.1854 0.3707 0.7500 x6
O2 0.3333 0.6667 0.1011 x4

Computed properties:
Formation energy without anion corrections, kJ/mol of formula units: -850
Size of the total moment, μB per formula unit: 5.00
N(E_F), states/eV/cell: 19.400

VASP calculation (GGA-PBE) on a relaxed structure of Ca2CdI.

Lattice parameters (Å, degrees): 7.983 7.983 7.983 90.00 90.00 90.00
Space group Fm-3m (No. 225)
Symmetry-distinct sites (fractional):
Ca1 0.250 0.250 0.250 x8
Cd1 0.000 0.000 0.000 x4
I1 0.000 0.000 0.500 x4

Computed properties:
Formation energy without anion corrections, kJ/mol of formula units: -157
Size of the total moment, μB per formula unit: 0.00
N(E_F), states/eV/cell: 21.967
Excess energy over the best structure of this formula in the dataset, eV per atom: 0.2594

VASP calculation (GGA-PBE) on a relaxed structure of HoAl3ZnNi.

Lattice parameters (Å, degrees): 5.962 12.382 5.730 90.00 90.00 90.00
Space group Cmcm (No. 63)
Symmetry-distinct sites (fractional):
Ho1 0.000 0.214 0.250 x4
Al1 0.000 0.366 0.750 x4
Al2 0.217 0.000 0.000 x8
Zn1 0.000 0.155 0.750 x4
Ni1 0.000 0.424 0.250 x4

Computed properties:
Size of the total moment, μB per formula unit: 0.00
N(E_F), states/eV/cell: 9.812
E_tot, eV per formula unit: -24.5

VASP calculation (GGA-PBE) on a relaxed structure of SrCa2Tl2Ag2.

Lattice parameters (Å, degrees): 4.9780 4.9780 29.9830 90.00 90.00 120.00
Space group R-3m (No. 166, hexagonal axes)
Symmetry-distinct sites (fractional):
Sr1 0.0000 0.0000 0.0000 x3
Ca1 0.0000 0.0000 0.1264 x6
Tl1 0.0000 0.0000 0.2558 x6
Ag1 0.0000 0.0000 0.4049 x6

Computed properties:
Size of the total moment, μB per formula unit: 0.00
N(E_F), states/eV/cell: 21.911
E_tot, eV per formula unit: -17.8